Record 1
AlTc2Os: relaxed, PBE.

It has space group Pmmm (No. 47), with a = 3.032 Å, b = 4.236 Å, c = 4.470 Å, α = 90.00°, β = 90.00° and γ = 90.00°. Symmetry generates all atoms from Al at (0.000, 0.000, 0.000), Tc at (0.000, 0.500, 0.500), Tc at (0.500, 0.000, 0.500) and Os at (0.500, 0.500, 0.000).

For the uncorrected energy, the calculation gives -8.9853 eV/atom.

Record 2
Tb5PrCu6: relaxed, PBE.

It has space group Cmmm (No. 65), with a = 4.976 Å, b = 14.968 Å, c = 6.958 Å, α = 90.00°, β = 90.00° and γ = 90.00°. Symmetry generates all atoms from Tb at (0.000, 0.000, 0.000), Tb at (0.000, 0.332, 0.500), Tb at (0.000, 0.334, 0.000), Pr at (0.000, 0.000, 0.500), Cu at (0.000, 0.170, 0.246) and Cu at (0.000, 0.500, 0.236).

For the uncorrected energy, the calculation gives -4.5937 eV/atom.